(1)
This record from the Alexandria database describes a PBEsol-optimized structure of Hf3IrCl. The functional is meta-GGA SCAN.

Lattice parameters (Å, degrees): 4.5581 4.5581 4.5581 90.00 90.00 90.00
Space group Pm-3m (No. 221)
Symmetry-distinct sites (fractional):
Hf  0.0000  0.0000  0.5000 x3
Ir  0.5000  0.5000  0.5000 x1
Cl  0.0000  0.0000  0.0000 x1

## Properties
The value obtained for the density is 13.38 Mg/m³. For the energy relative to the elements, uncorrected, the calculation gives 43 kJ/mol of formula units. As for the total magnetic moment: 0.000 μB per formula unit. For the total DFT energy (no corrections), the calculation gives -53.33 eV per atom. As for the crystal system: cubic.

(2)
This record from the Alexandria database describes a PBEsol-optimized structure of Li2ScZnAu. The functional is meta-GGA SCAN.

Lattice parameters (Å, degrees): 5.2860 5.2860 4.9017 90.00 90.00 90.00
Space group P4/mmm (No. 123)
Symmetry-distinct sites (fractional):
Li  0.0000  0.5000  0.0000 x2
Sc  0.0000  0.0000  0.0000 x1
Zn  0.5000  0.5000  0.5000 x1
Au  0.0000  0.0000  0.5000 x1

## Properties
The value obtained for the density is 3.89 Mg/m³. As for the total magnetic moment: 0.775 μB per formula unit. For the total DFT energy (no corrections), the calculation gives -19.52 eV per atom. As for the crystal system: tetragonal. For the formation enthalpy at 0 K, the calculation gives 4.10 eV/f.u.

(3)
This record from the Alexandria database describes a PBEsol-optimized structure of ZnAg2Te. The functional is meta-GGA SCAN.

Lattice parameters (Å, degrees): 3.0215 3.8646 6.5345 90.00 90.00 90.00
Space group Pmmm (No. 47)
Symmetry-distinct sites (fractional):
Zn  0.0000  0.0000  0.0000 x1
Ag  0.5000  0.5000  0.2071 x2
Te  0.0000  0.0000  0.5000 x1

## Properties
The value obtained for the density is 8.90 Mg/m³. For the energy relative to the elements, uncorrected, the calculation gives 47 kJ/mol of formula units. As for the total magnetic moment: 0.000 μB per formula unit. As for the energy relative to the lowest polymorph listed for this composition: 0.056 eV per atom. For the total DFT energy (no corrections), the calculation gives -28.25 eV per atom. As for the crystal system: orthorhombic.

(4)
This record from the Alexandria database describes a PBEsol-optimized structure of YAl2Co2. The functional is meta-GGA SCAN.

Lattice parameters (Å, degrees): 3.9245 3.9245 10.1054 90.00 90.00 90.00
Space group I4/mmm (No. 139)
Symmetry-distinct sites (fractional):
Y  0.0000  0.0000  0.0000 x2
Al  0.0000  0.5000  0.2500 x4
Co  0.0000  0.0000  0.3928 x4

## Properties
The value obtained for the density is 5.56 Mg/m³. As for the total magnetic moment: 0.522 μB per formula unit. As for the energy relative to the lowest polymorph listed for this composition: 0.000 eV per atom. For the total DFT energy (no corrections), the calculation gives -15.98 eV per atom. As for the crystal system: tetragonal. For the formation enthalpy at 0 K, the calculation gives -1.92 eV/f.u.

(5)
This record from the Alexandria database describes a PBEsol-optimized structure of ZnCrGe2O6. The functional is meta-GGA SCAN.

Lattice parameters (Å, degrees): 9.7023 8.9302 5.2294 90.00 100.98 90.00
Space group C2/c (No. 15)
Symmetry-distinct sites (fractional):
Zn  0.0000  0.2252  0.2500 x4
Cr  0.0000  0.4084  0.7500 x4
Ge  0.1983  0.0958  0.7936 x8
O  0.1119  0.4166  0.1227 x8
O  0.1152  0.2509  0.6200 x8
O  0.1378  0.0714  0.1024 x8

## Properties
The value obtained for the density is 5.36 Mg/m³. For the energy relative to the elements, uncorrected, the calculation gives -1696 kJ/mol of formula units. As for the total magnetic moment: 3.527 μB per formula unit. As for the energy relative to the lowest polymorph listed for this composition: 0.086 eV per atom. For the total DFT energy (no corrections), the calculation gives -12.50 eV per atom. As for the crystal system: monoclinic.

(6)
This record from the Alexandria database describes a PBEsol-optimized structure of CdSb2As. The functional is meta-GGA SCAN.

Lattice parameters (Å, degrees): 2.9592 4.0836 8.3614 90.00 98.04 90.00
Space group P2/m (No. 10)
Symmetry-distinct sites (fractional):
Cd  0.0000  0.0000  0.0000 x1
Sb  0.1042  0.5000  0.7432 x2
As  0.0000  0.0000  0.5000 x1

## Properties
The value obtained for the density is 7.15 Mg/m³. For the energy relative to the elements, uncorrected, the calculation gives 38 kJ/mol of formula units. As for the total magnetic moment: 0.000 μB per formula unit. As for the energy relative to the lowest polymorph listed for this composition: 0.058 eV per atom. For the total DFT energy (no corrections), the calculation gives -31.18 eV per atom. As for the crystal system: monoclinic.

(7)
This record from the Alexandria database describes a PBEsol-optimized structure of YB2Rh2C. The functional is meta-GGA SCAN.

Lattice parameters (Å, degrees): 3.7470 3.7470 10.3010 90.00 90.00 90.00
Space group I4/mmm (No. 139)
Symmetry-distinct sites (fractional):
Y  0.0000  0.0000  0.0000 x2
B  0.0000  0.0000  0.3546 x4
Rh  0.0000  0.5000  0.2500 x4
C  0.0000  0.0000  0.5000 x2

## Properties
The value obtained for the density is 7.54 Mg/m³. As for the total magnetic moment: 0.000 μB per formula unit. For the total DFT energy (no corrections), the calculation gives -20.78 eV per atom. As for the crystal system: tetragonal. For the formation enthalpy at 0 K, the calculation gives -4.36 eV/f.u.

(8)
This record from the Alexandria database describes a PBEsol-optimized structure of FePH6NO5. The functional is meta-GGA SCAN.

Lattice parameters (Å, degrees): 17.6920 5.6537 4.7191 90.00 90.00 90.00
Space group Pna2_1 (No. 33)
Symmetry-distinct sites (fractional):
Fe  0.0115  0.2489  0.0000 x4
P  0.0979  0.7492  0.9380 x4
H  0.0904  0.3869  0.4506 x4
H  0.0909  0.1078  0.4423 x4
H  0.1965  0.3575  0.8928 x4
H  0.2102  0.0582  0.8876 x4
H  0.2282  0.7387  0.5673 x4
H  0.2308  0.7407  0.1983 x4
N  0.2366  0.2251  0.8860 x4
O  0.0591  0.9660  0.7894 x4
O  0.0629  0.5252  0.7912 x4
O  0.0829  0.7488  0.2565 x4
O  0.0973  0.2499  0.3202 x4
O  0.1843  0.7564  0.8850 x4

## Properties
The value obtained for the density is 2.63 Mg/m³. As for the total magnetic moment: 4.000 μB per formula unit. For the total DFT energy (no corrections), the calculation gives -7.73 eV per atom. As for the crystal system: orthorhombic.

What is the formula in the fourth record?
YAl2Co2

Which value of total DFT energy (no corrections) does entry 1 give?
-53.33 eV per atom

Copy entry 1 word for word.
This record from the Alexandria database describes a PBEsol-optimized structure of Hf3IrCl. The functional is meta-GGA SCAN.

Lattice parameters (Å, degrees): 4.5581 4.5581 4.5581 90.00 90.00 90.00
Space group Pm-3m (No. 221)
Symmetry-distinct sites (fractional):
Hf  0.0000  0.0000  0.5000 x3
Ir  0.5000  0.5000  0.5000 x1
Cl  0.0000  0.0000  0.0000 x1

## Properties
The value obtained for the density is 13.38 Mg/m³. For the energy relative to the elements, uncorrected, the calculation gives 43 kJ/mol of formula units. As for the total magnetic moment: 0.000 μB per formula unit. For the total DFT energy (no corrections), the calculation gives -53.33 eV per atom. As for the crystal system: cubic.

Which formula does entry 3 have?
ZnAg2Te